No. 1
Compound: Pr6Ru2Br3Cl
Source: Alexandria
Functional: PBE-GGA
Structure: relaxed

## Properties
The value obtained for the uncorrected formation energy is -1168 kJ/mol of formula units. Its symmetry is No. 12.

abc: 7.2877 7.2877 8.1960
angles: 98.45 98.45 119.99
Element x y z (fractional)
Pr 0.0724 0.4332 0.7991
Pr 0.2054 0.2054 0.1995
Pr 0.4332 0.0724 0.7991
Pr 0.5668 0.9276 0.2009
Pr 0.7946 0.7946 0.8005
Pr 0.9276 0.5668 0.2009
Ru 0.1669 0.8331 0.0000
Ru 0.8331 0.1669 0.0000
Br 0.0000 0.0000 0.5000
Br 0.3351 0.6649 0.5000
Br 0.6649 0.3351 0.5000
Cl 0.5000 0.5000 0.0000


No. 2
Compound: RbCa2Cl2
Source: Alexandria
Functional: PBE-GGA
Structure: relaxed

## Properties
The value obtained for the uncorrected formation energy is -455 kJ/mol of formula units. The distance to the lowest polymorph of the same formula is 275.8 meV/atom. Its symmetry is No. 127.

abc: 11.2654 11.2654 3.5870
angles: 90.00 90.00 90.00
Element x y z (fractional)
Rb 0.0000 0.0000 0.0000
Rb 0.5000 0.5000 0.0000
Ca 0.1104 0.3896 0.0000
Ca 0.3896 0.8896 0.0000
Ca 0.6104 0.1104 0.0000
Ca 0.8896 0.6104 0.0000
Cl 0.0993 0.5993 0.5000
Cl 0.4007 0.0993 0.5000
Cl 0.5993 0.9007 0.5000
Cl 0.9007 0.4007 0.5000


No. 3
Compound: Li14HgGe
Source: Alexandria
Functional: PBE-GGA
Structure: relaxed

## Properties
For the energy of formation from the pure elements, the calculation gives -12.5 kJ/mol of atoms. Its symmetry is No. 123.

abc: 6.0643 6.0643 7.9473
angles: 90.00 90.00 90.00
Element x y z (fractional)
Li 0.0000 0.0000 0.0000
Li 0.0000 0.5000 0.0000
Li 0.0000 0.5000 0.5000
Li 0.2415 0.2415 0.2704
Li 0.2415 0.2415 0.7296
Li 0.2415 0.7585 0.2704
Li 0.2415 0.7585 0.7296
Li 0.5000 0.0000 0.0000
Li 0.5000 0.0000 0.5000
Li 0.5000 0.5000 0.0000
Li 0.7585 0.2415 0.2704
Li 0.7585 0.2415 0.7296
Li 0.7585 0.7585 0.2704
Li 0.7585 0.7585 0.7296
Hg 0.5000 0.5000 0.5000
Ge 0.0000 0.0000 0.5000


No. 4
Compound: NdScH
Source: Alexandria
Functional: PBE-GGA
Structure: relaxed

## Properties
The distance to the lowest polymorph of the same formula is 97.5 meV/atom. Its symmetry is No. 156.

abc: 3.4907 3.4907 5.6335
angles: 90.00 90.00 120.00
Element x y z (fractional)
Nd 0.0000 0.0000 0.0000
Sc 0.3333 0.6667 0.4845
H 0.6667 0.3333 0.2834


No. 5
Compound: AcGe3Mo
Source: Alexandria
Functional: PBE-GGA
Structure: relaxed

## Properties
The distance to the lowest polymorph of the same formula is 247.1 meV/atom. For the energy of formation from the pure elements, the calculation gives -17.8 kJ/mol of atoms. Its symmetry is No. 221.

abc: 4.9302 4.9302 4.9302
angles: 90.00 90.00 90.00
Element x y z (fractional)
Ac 0.0000 0.0000 0.0000
Ge 0.0000 0.5000 0.5000
Ge 0.5000 0.0000 0.5000
Ge 0.5000 0.5000 0.0000
Mo 0.5000 0.5000 0.5000


No. 6
Compound: CeTh2Rh5Au
Source: Alexandria
Functional: PBE-GGA
Structure: relaxed

## Properties
For the energy of formation from the pure elements, the calculation gives -37.3 kJ/mol of atoms. Its symmetry is No. 140.

abc: 8.0713 8.0713 8.0713
angles: 116.62 116.62 95.95
Element x y z (fractional)
Ce 0.2500 0.2500 0.0000
Ce 0.7500 0.7500 0.0000
Th 0.1373 0.6373 0.7745
Th 0.3627 0.1373 0.5000
Th 0.6373 0.8627 0.5000
Th 0.8627 0.3627 0.2255
Rh 0.0000 0.0000 0.0000
Rh 0.0575 0.1685 0.5000
Rh 0.1685 0.6685 0.1110
Rh 0.3315 0.4425 0.5000
Rh 0.4425 0.9425 0.1110
Rh 0.5000 0.5000 0.0000
Rh 0.5575 0.0575 0.8890
Rh 0.6685 0.5575 0.5000
Rh 0.8315 0.3315 0.8890
Rh 0.9425 0.8315 0.5000
Au 0.2500 0.7500 0.5000
Au 0.7500 0.2500 0.5000


No. 7
Compound: SrLi2Bi2
Source: Alexandria
Functional: PBE-GGA
Structure: relaxed

## Properties
The distance to the lowest polymorph of the same formula is 0.0 meV/atom. For the energy of formation from the pure elements, the calculation gives -61.5 kJ/mol of atoms. Its symmetry is No. 129.

abc: 4.7263 4.7263 12.3179
angles: 90.00 90.00 90.00
Element x y z (fractional)
Sr 0.2500 0.2500 0.2382
Sr 0.7500 0.7500 0.7618
Li 0.2500 0.2500 0.6419
Li 0.2500 0.7500 0.0000
Li 0.7500 0.2500 0.0000
Li 0.7500 0.7500 0.3581
Bi 0.2500 0.2500 0.8626
Bi 0.2500 0.7500 0.5000
Bi 0.7500 0.2500 0.5000
Bi 0.7500 0.7500 0.1374


No. 8
Compound: NaSiTc2
Source: Alexandria
Functional: PBE-GGA
Structure: relaxed

## Properties
The value obtained for the uncorrected formation energy is 277 kJ/mol of formula units. The distance to the lowest polymorph of the same formula is 151.2 meV/atom. Its symmetry is No. 122.

abc: 9.5353 9.5353 9.5353
angles: 155.67 155.67 34.68
Element x y z (fractional)
Na 0.0000 0.0000 0.0000
Na 0.7500 0.2500 0.5000
Si 0.2500 0.7500 0.5000
Si 0.5000 0.5000 0.0000
Tc 0.2219 0.6250 0.0969
Tc 0.3750 0.4719 0.5969
Tc 0.5281 0.1250 0.9031
Tc 0.8750 0.7781 0.4031


No. 9
Compound: Y3Rh
Source: Alexandria
Functional: PBE-GGA
Structure: relaxed

## Properties
For the energy of formation from the pure elements, the calculation gives -13.0 kJ/mol of atoms. Its symmetry is No. 139.

abc: 11.1777 11.1777 11.1777
angles: 157.44 157.44 32.12
Element x y z (fractional)
Y 0.0000 0.5000 0.5000
Y 0.1235 0.1235 0.0000
Y 0.2500 0.7500 0.5000
Y 0.5000 0.0000 0.5000
Y 0.7500 0.2500 0.5000
Y 0.8765 0.8765 0.0000
Rh 0.3923 0.3923 0.0000
Rh 0.6077 0.6077 0.0000


No. 10
Compound: Pu8GeIr6
Source: Alexandria
Functional: PBE-GGA
Structure: relaxed

## Properties
For the energy of formation from the pure elements, the calculation gives -6.8 kJ/mol of atoms. Its symmetry is No. 148.

abc: 9.3469 9.3469 9.3469
angles: 39.10 39.10 39.10
Element x y z (fractional)
Pu 0.0144 0.7018 0.3563
Pu 0.1661 0.1661 0.1661
Pu 0.2982 0.6437 0.9856
Pu 0.3563 0.0144 0.7018
Pu 0.6437 0.9856 0.2982
Pu 0.7018 0.3563 0.0144
Pu 0.8339 0.8339 0.8339
Pu 0.9856 0.2982 0.6437
Ge 0.5000 0.5000 0.5000
Ir 0.1523 0.4338 0.7027
Ir 0.2973 0.8477 0.5662
Ir 0.4338 0.7027 0.1523
Ir 0.5662 0.2973 0.8477
Ir 0.7027 0.1523 0.4338
Ir 0.8477 0.5662 0.2973


No. 11
Compound: SiAsC2
Source: Alexandria
Functional: PBE-GGA
Structure: relaxed

## Properties
The value obtained for the uncorrected formation energy is 269 kJ/mol of formula units. The distance to the lowest polymorph of the same formula is 145.2 meV/atom. Its symmetry is No. 8.

abc: 4.2238 4.2238 5.5225
angles: 125.71 125.71 43.66
Element x y z (fractional)
Si 0.0000 0.0000 0.0000
As 0.0251 0.0251 0.4694
C 0.6073 0.6073 0.9593
C 0.6853 0.6853 0.7697


No. 12
Compound: BaZnP2
Source: Alexandria
Functional: PBE-GGA
Structure: relaxed

## Properties
For the energy of formation from the pure elements, the calculation gives -46.1 kJ/mol of atoms. Its symmetry is No. 122.

abc: 8.8886 8.8886 8.8886
angles: 147.19 147.19 47.08
Element x y z (fractional)
Ba 0.0000 0.0000 0.0000
Ba 0.7500 0.2500 0.5000
Zn 0.2500 0.7500 0.5000
Zn 0.5000 0.5000 0.0000
P 0.3130 0.6250 0.1880
P 0.3750 0.5630 0.6880
P 0.4370 0.1250 0.8120
P 0.8750 0.6870 0.3120


No. 13
Compound: FeCo2Ag
Source: Alexandria
Functional: PBE-GGA
Structure: relaxed

## Properties
The distance to the lowest polymorph of the same formula is 31.6 meV/atom. For the energy of formation from the pure elements, the calculation gives 23.8 kJ/mol of atoms. Its symmetry is No. 166.

abc: 8.6272 8.6272 8.6272
angles: 17.73 17.73 17.73
Element x y z (fractional)
Fe 0.0000 0.0000 0.0000
Co 0.2588 0.2588 0.2588
Co 0.7412 0.7412 0.7412
Ag 0.5000 0.5000 0.5000


No. 14
Compound: MgZn2P
Source: Alexandria
Functional: PBE-GGA
Structure: relaxed

## Properties
For the energy of formation from the pure elements, the calculation gives 0.6 kJ/mol of atoms. Its symmetry is No. 99.

abc: 3.5432 3.5432 5.3663
angles: 90.00 90.00 90.00
Element x y z (fractional)
Mg 0.0000 0.0000 0.0000
Zn 0.0000 0.0000 0.4941
Zn 0.5000 0.5000 0.6949
P 0.5000 0.5000 0.2076


No. 15
Compound: HfCrSeBr2
Source: Alexandria
Functional: PBE-GGA
Structure: relaxed

## Properties
The value obtained for the uncorrected formation energy is 114 kJ/mol of formula units. The distance to the lowest polymorph of the same formula is 442.4 meV/atom. Its symmetry is No. 123.

abc: 4.9355 4.9355 5.1067
angles: 90.00 90.00 90.00
Element x y z (fractional)
Hf 0.0000 0.0000 0.0000
Cr 0.5000 0.5000 0.5000
Se 0.5000 0.5000 0.0000
Br 0.0000 0.5000 0.5000
Br 0.5000 0.0000 0.5000


No. 16
Compound: Nd3Dy3HoS8
Source: Alexandria
Functional: PBE-GGA
Structure: relaxed

## Properties
The value obtained for the uncorrected formation energy is -2972 kJ/mol of formula units. Its symmetry is No. 166.

abc: 7.9915 7.9915 7.9915
angles: 59.32 59.32 59.32
Element x y z (fractional)
Nd 0.0000 0.5000 0.5000
Nd 0.5000 0.0000 0.5000
Nd 0.5000 0.5000 0.0000
Dy 0.0000 0.0000 0.5000
Dy 0.0000 0.5000 0.0000
Dy 0.5000 0.0000 0.0000
Ho 0.5000 0.5000 0.5000
S 0.2451 0.2451 0.2451
S 0.2446 0.7458 0.7458
S 0.2542 0.2542 0.7554
S 0.2542 0.7554 0.2542
S 0.7458 0.2446 0.7458
S 0.7458 0.7458 0.2446
S 0.7554 0.2542 0.2542
S 0.7549 0.7549 0.7549


No. 17
Compound: SrTmCd4
Source: Alexandria
Functional: PBE-GGA
Structure: relaxed

## Properties
The distance to the lowest polymorph of the same formula is 64.9 meV/atom. For the energy of formation from the pure elements, the calculation gives -20.8 kJ/mol of atoms. Its symmetry is No. 216.

abc: 6.0266 6.0266 6.0266
angles: 60.00 60.00 60.00
Element x y z (fractional)
Sr 0.0000 0.0000 0.0000
Tm 0.2500 0.2500 0.2500
Cd 0.1266 0.6245 0.6245
Cd 0.6245 0.1266 0.6245
Cd 0.6245 0.6245 0.1266
Cd 0.6245 0.6245 0.6245


No. 18
Compound: CoReSN2
Source: Alexandria
Functional: PBE-GGA
Structure: relaxed

## Properties
The value obtained for the uncorrected formation energy is 347 kJ/mol of formula units. The distance to the lowest polymorph of the same formula is 0.0 meV/atom. Its symmetry is No. 123.

abc: 3.7761 3.7761 5.1888
angles: 90.00 90.00 90.00
Element x y z (fractional)
Co 0.0000 0.0000 0.0000
Re 0.5000 0.5000 0.5000
S 0.5000 0.5000 0.0000
N 0.0000 0.5000 0.5000
N 0.5000 0.0000 0.5000


No. 19
Compound: Pa2Co4As3Pt
Source: Alexandria
Functional: PBE-GGA
Structure: relaxed

## Properties
For the energy of formation from the pure elements, the calculation gives -62.8 kJ/mol of atoms. Its symmetry is No. 115.

abc: 3.8343 3.8343 10.6851
angles: 90.00 90.00 90.00
Element x y z (fractional)
Pa 0.0000 0.5000 0.2452
Pa 0.5000 0.0000 0.7548
Co 0.0000 0.0000 0.5000
Co 0.0000 0.5000 0.8342
Co 0.5000 0.0000 0.1658
Co 0.5000 0.5000 0.5000
As 0.0000 0.0000 0.0000
As 0.0000 0.5000 0.6217
As 0.5000 0.0000 0.3783
Pt 0.5000 0.5000 0.0000


No. 20
Compound: SIO3
Source: Alexandria
Functional: PBE-GGA
Structure: relaxed

## Properties
The value obtained for the uncorrected formation energy is 256 kJ/mol of formula units. Its symmetry is No. 221.

abc: 3.9099 3.9099 3.9099
angles: 90.00 90.00 90.00
Element x y z (fractional)
S 0.0000 0.0000 0.0000
I 0.5000 0.5000 0.5000
O 0.0000 0.0000 0.5000
O 0.0000 0.5000 0.0000
O 0.5000 0.0000 0.0000


Number 1: magnetic moment 0.00 μB per formula unit, E -5.517 eV/atom. Number 2: magnetic moment 0.00 μB per formula unit, E -2.676 eV/atom. Number 3: magnetic moment 0.00 μB per formula unit, E -2.111 eV/atom. Number 4: magnetic moment 0.00 μB per formula unit, E -4.983 eV/atom. Number 5: magnetic moment 0.00 μB per formula unit, E -5.943 eV/atom. Number 6: magnetic moment 0.39 μB per formula unit, E -7.143 eV/atom. Number 7: magnetic moment 0.00 μB per formula unit, E -3.291 eV/atom. Number 8: magnetic moment 0.00 μB per formula unit, E -6.150 eV/atom. Number 9: magnetic moment 0.00 μB per formula unit, E -6.820 eV/atom. Number 10: magnetic moment 9.49 μB per formula unit, E -11.567 eV/atom. Number 11: magnetic moment 0.00 μB per formula unit, E -6.433 eV/atom. Number 12: magnetic moment 0.00 μB per formula unit, E -3.982 eV/atom. Number 13: magnetic moment 5.68 μB per formula unit, E -6.135 eV/atom. Number 14: magnetic moment 0.00 μB per formula unit, E -2.382 eV/atom. Number 15: magnetic moment 5.57 μB per formula unit, E -5.045 eV/atom. Number 16: magnetic moment 0.00 μB per formula unit, E -6.434 eV/atom. Number 17: magnetic moment 0.00 μB per formula unit, E -1.851 eV/atom. Number 18: magnetic moment 2.11 μB per formula unit, E -7.347 eV/atom. Number 19: magnetic moment 0.61 μB per formula unit, E -7.392 eV/atom. Number 20: magnetic moment 0.00 μB per formula unit, E -3.579 eV/atom.